(1)
Computed, not measured: crystalline LiCoRu2 at its relaxed geometry at the PBE level of DFT.

Computed properties:
* symmetry: No. 12
* total energy: -6.658 eV/atom
* size of the total moment: 0.00 μB per cell

Lattice parameters (Å, degrees): 4.503 4.503 4.571 80.49 80.49 33.89
Fractional positions:
Co 0.750 0.750 0.750
Li 0.250 0.250 0.250
Ru 0.014 0.014 0.996
Ru 0.486 0.486 0.504

(2)
Computed, not measured: crystalline LiCo2Ru at its relaxed geometry at the PBE level of DFT.

Computed properties:
* symmetry: No. 123
* total energy: -6.104 eV/atom
* size of the total moment: 0.01 μB per cell

Lattice parameters (Å, degrees): 2.640 2.640 6.777 90.00 90.00 90.00
Fractional positions:
Co 0.000 0.000 0.998
Co 0.000 0.000 0.502
Li 0.500 0.500 0.250
Ru 0.500 0.500 0.750

(3)
Computed, not measured: crystalline LiCoRu at its relaxed geometry at the PBE level of DFT.

Computed properties:
* symmetry: No. 194
* total energy: -4.404 eV/atom
* size of the total moment: 3.45 μB per cell

Lattice parameters (Å, degrees): 3.813 3.813 8.723 90.00 90.00 120.00
Each line ends with the local moment (μB).
Fractional positions:
Ru 0.000 0.000 0.000  0.91
Ru 0.000 0.000 0.500  0.90
Co 0.000 0.000 0.250  0.76
Co 0.000 0.000 0.750  0.76
Li 0.333 0.667 0.250  -0.01
Li 0.667 0.333 0.750  -0.01

(4)
Computed, not measured: crystalline LiCoRu at its relaxed geometry at the PBE level of DFT.

Computed properties:
* symmetry: No. 186
* total energy: -5.785 eV/atom
* size of the total moment: 0.01 μB per cell

Lattice parameters (Å, degrees): 4.126 4.126 5.039 90.00 90.00 120.00
Fractional positions:
Ru 0.333 0.667 0.484
Ru 0.667 0.333 0.984
Co 0.333 0.667 0.018
Co 0.667 0.333 0.518
Li 0.000 0.000 0.749
Li 0.000 0.000 0.249

(5)
Computed, not measured: crystalline LiCoRu at its relaxed geometry at the PBE level of DFT.

Computed properties:
* symmetry: No. 8
* total energy: -5.891 eV/atom
* size of the total moment: 3.40 μB per cell

Lattice parameters (Å, degrees): 4.839 4.040 4.746 64.83 63.11 65.35
Each line ends with the local moment (μB).
Fractional positions:
Ru 0.574 0.712 0.853  0.35
Ru 0.704 0.375 0.396  0.28
Co 0.393 0.062 0.332  1.42
Co 0.077 0.704 0.365  1.46
Li 0.934 0.024 0.869  -0.01
Li 0.193 0.390 0.878  -0.01

(6)
Computed, not measured: crystalline LiCoRu2 at its relaxed geometry at the PBE level of DFT.

Computed properties:
* symmetry: No. 122
* total energy: -6.256 eV/atom
* size of the total moment: 0.00 μB per cell

Lattice parameters (Å, degrees): 7.066 7.066 5.515 50.16 50.16 90.00
Fractional positions:
Ru 0.685 0.125 0.250
Ru 0.065 0.625 0.250
Ru 0.375 0.315 0.750
Ru 0.875 0.935 0.750
Co 0.000 0.000 0.000
Co 0.750 0.250 0.500
Li 0.500 0.500 0.000
Li 0.250 0.750 0.500

(7)
Computed, not measured: crystalline LiCoRu2 at its relaxed geometry at the PBE level of DFT.

Computed properties:
* symmetry: No. 44
* total energy: -6.678 eV/atom
* size of the total moment: 1.53 μB per cell

Lattice parameters (Å, degrees): 4.803 4.803 4.803 144.64 129.35 63.28
Each line ends with the local moment (μB).
Fractional positions:
Co 0.490 0.490 0.000  1.34
Li 0.259 0.759 0.500  -0.01
Ru 0.006 0.006 0.000  0.19
Ru 0.745 0.245 0.500  0.04

(8)
Computed, not measured: crystalline LiCo2Ru2 at its relaxed geometry at the PBE level of DFT.

Computed properties:
* symmetry: No. 127
* total energy: -6.692 eV/atom
* size of the total moment: 0.61 μB per cell

Lattice parameters (Å, degrees): 7.149 7.149 2.571 90.00 90.00 90.00
Each line ends with the local moment (μB).
Fractional positions:
Ru 0.177 0.677 0.500  0.00
Ru 0.677 0.823 0.500  0.00
Ru 0.823 0.323 0.500  0.00
Ru 0.323 0.177 0.500  0.00
Co 0.383 0.883 0.000  0.15
Co 0.883 0.617 0.000  0.16
Co 0.617 0.117 0.000  0.15
Co 0.117 0.383 0.000  0.16
Li 0.000 0.000 0.000  0.00
Li 0.500 0.500 0.000  0.00

(9)
Computed, not measured: crystalline LiCo2RuSe at its relaxed geometry at the PBE level of DFT.

Computed properties:
* symmetry: No. 123
* total energy: -5.000 eV/atom
* size of the total moment: 4.47 μB per cell
* raw formation energy: 17.9 kcal/mol of atoms

Lattice parameters (Å, degrees): 4.648 4.678 4.648 90.00 90.00 90.00
Each line ends with the local moment (μB).
Fractional positions:
Ru 0.000 0.000 0.000  0.61
Co 0.000 0.000 0.500  2.26
Co 0.500 0.000 0.000  1.66
Se 0.000 0.500 0.000  -0.01
Li 0.500 0.500 0.500  -0.02

(10)
Computed, not measured: crystalline LiThCoRu at its relaxed geometry at the PBE level of DFT.

Computed properties:
* symmetry: No. 216
* total energy: -6.511 eV/atom
* size of the total moment: 0.00 μB per cell

Lattice parameters (Å, degrees): 4.528 4.528 4.528 60.00 60.00 60.00
Fractional positions:
Ru 0.750 0.750 0.750
Co 0.250 0.250 0.250
Th 0.500 0.500 0.500
Li 0.000 0.000 0.000

(11)
Computed, not measured: crystalline LiTmCoRu at its relaxed geometry at the PBE level of DFT.

Computed properties:
* symmetry: No. 216
* total energy: -5.665 eV/atom
* size of the total moment: 2.35 μB per cell

Lattice parameters (Å, degrees): 4.434 4.434 4.434 60.00 60.00 60.00
Each line ends with the local moment (μB).
Fractional positions:
Ru 0.250 0.250 0.250  0.96
Tm 0.750 0.750 0.750  -0.18
Co 0.000 0.000 0.000  1.56
Li 0.500 0.500 0.500  -0.01

(12)
Computed, not measured: crystalline LiCoS at its relaxed geometry at the PBE level of DFT.

Computed properties:
* symmetry: No. 129
* total energy: -5.023 eV/atom
* size of the total moment: 2.93 μB per cell
* raw formation energy: -14.8 kcal/mol of atoms

Lattice parameters (Å, degrees): 3.703 3.703 5.772 90.00 90.00 90.00
Each line ends with the local moment (μB).
Fractional positions:
Co 0.000 0.000 0.000  1.28
Co 0.500 0.500 0.000  1.28
Li 0.000 0.500 0.342  0.00
Li 0.500 0.000 0.658  0.00
S 0.000 0.500 0.772  0.09
S 0.500 0.000 0.228  0.09

(13)
Computed, not measured: crystalline Li3CoS at its relaxed geometry at the PBE level of DFT.

Computed properties:
* symmetry: No. 221
* total energy: -3.467 eV/atom
* size of the total moment: 2.00 μB per cell
* raw formation energy: -1.7 kcal/mol of atoms

Lattice parameters (Å, degrees): 4.591 4.591 4.591 90.00 90.00 90.00
Each line ends with the local moment (μB).
Fractional positions:
S 0.000 0.000 0.000  0.03
Co 0.500 0.500 0.500  2.07
Li 0.000 0.500 0.000  0.00
Li 0.000 0.000 0.500  0.00
Li 0.500 0.000 0.000  0.00

(14)
Computed, not measured: crystalline LiCo3S at its relaxed geometry at the PBE level of DFT.

Computed properties:
* symmetry: No. 221
* total energy: -4.355 eV/atom
* size of the total moment: 4.88 μB per cell
* raw formation energy: 25.8 kcal/mol of atoms

Lattice parameters (Å, degrees): 3.989 3.989 3.989 90.00 90.00 90.00
Each line ends with the local moment (μB).
Fractional positions:
S 0.500 0.500 0.500  0.12
Co 0.000 0.500 0.000  1.91
Co 0.000 0.000 0.500  1.39
Co 0.500 0.000 0.000  1.61
Li 0.000 0.000 0.000  -0.12

(15)
Computed, not measured: crystalline Li3CoS at its relaxed geometry at the PBE level of DFT.

Computed properties:
* symmetry: No. 221
* total energy: -3.001 eV/atom
* size of the total moment: 2.00 μB per cell
* raw formation energy: 9.1 kcal/mol of atoms

Lattice parameters (Å, degrees): 4.553 4.553 4.553 90.00 90.00 90.00
Each line ends with the local moment (μB).
Fractional positions:
S 0.500 0.500 0.500  0.17
Co 0.000 0.000 0.000  1.78
Li 0.000 0.500 0.000  -0.01
Li 0.000 0.000 0.500  -0.01
Li 0.500 0.000 0.000  -0.01

(16)
Computed, not measured: crystalline Li2Co3S6 at its relaxed geometry at the PBE level of DFT.

Computed properties:
* symmetry: No. 12
* total energy: -5.120 eV/atom
* size of the total moment: 0.00 μB per cell
* raw formation energy: -13.4 kcal/mol of atoms

Lattice parameters (Å, degrees): 5.839 5.835 6.138 80.84 71.46 59.98
Fractional positions:
Li 0.165 0.669 0.500
Li 0.835 0.331 0.500
Co 0.000 0.000 0.000
Co 0.334 0.332 0.000
Co 0.666 0.668 0.000
S 0.400 0.665 0.802
S 0.737 0.000 0.796
S 0.064 0.335 0.802
S 0.263 0.000 0.204
S 0.600 0.335 0.198
S 0.936 0.665 0.198

(17)
Computed, not measured: crystalline Li14Co2S9 at its relaxed geometry at the PBE level of DFT.

Computed properties:
* symmetry: No. 147
* total energy: -4.246 eV/atom
* size of the total moment: 6.00 μB per cell
* raw formation energy: -25.8 kcal/mol of atoms

Lattice parameters (Å, degrees): 7.000 7.000 9.813 90.00 90.00 120.00
Each line ends with the local moment (μB).
Fractional positions:
Li 0.017 0.671 0.910  0.00
Li 0.324 0.959 0.592  0.01
Li 0.041 0.365 0.592  0.01
Li 0.000 0.000 0.250  0.00
Li 0.000 0.000 0.750  0.00
Li 0.329 0.346 0.910  0.00
Li 0.654 0.983 0.910  0.00
Li 0.365 0.324 0.408  0.01
Li 0.635 0.676 0.592  0.01
Li 0.346 0.017 0.090  0.00
Li 0.671 0.654 0.090  0.00
Li 0.959 0.635 0.408  0.01
Li 0.676 0.041 0.408  0.01
Li 0.983 0.329 0.090  0.00
Co 0.333 0.667 0.256  2.22
Co 0.667 0.333 0.744  2.22
S 0.309 0.964 0.338  0.09
S 0.036 0.345 0.338  0.09
S 0.333 0.667 0.020  0.08
S 0.000 0.000 0.000  0.01
S 0.345 0.309 0.662  0.09
S 0.655 0.691 0.338  0.09
S 0.667 0.333 0.980  0.08
S 0.964 0.655 0.662  0.09
S 0.691 0.036 0.662  0.09

(18)
Computed, not measured: crystalline LiCo6S8 at its relaxed geometry at the PBE level of DFT.

Computed properties:
* symmetry: No. 148
* total energy: -5.647 eV/atom
* size of the total moment: 0.00 μB per cell
* raw formation energy: -11.0 kcal/mol of atoms

Lattice parameters (Å, degrees): 6.095 6.095 6.095 92.16 92.16 92.16
Fractional positions:
Li 0.000 0.000 0.000
Co 0.602 0.445 0.817
Co 0.445 0.817 0.602
Co 0.817 0.602 0.445
Co 0.398 0.555 0.183
Co 0.555 0.183 0.398
Co 0.183 0.398 0.555
S 0.766 0.766 0.766
S 0.234 0.234 0.234
S 0.618 0.851 0.279
S 0.851 0.279 0.618
S 0.279 0.618 0.851
S 0.382 0.149 0.721
S 0.149 0.721 0.382
S 0.721 0.382 0.149

(19)
Computed, not measured: crystalline LiCo3S at its relaxed geometry at the PBE level of DFT.

Computed properties:
* symmetry: No. 221
* total energy: -5.343 eV/atom
* size of the total moment: 3.87 μB per cell
* raw formation energy: 3.0 kcal/mol of atoms

Lattice parameters (Å, degrees): 4.132 4.132 4.132 90.00 90.00 90.00
Each line ends with the local moment (μB).
Fractional positions:
S 0.000 0.000 0.000  0.06
Co 0.000 0.500 0.000  1.35
Co 0.000 0.000 0.500  1.19
Co 0.500 0.000 0.000  1.54
Li 0.500 0.500 0.500  -0.03

(20)
Computed, not measured: crystalline Li2CoS at its relaxed geometry at the PBE level of DFT.

Computed properties:
* symmetry: No. 122
* total energy: -3.867 eV/atom
* size of the total moment: 1.54 μB per cell
* raw formation energy: -2.3 kcal/mol of atoms

Lattice parameters (Å, degrees): 3.452 3.452 8.847 78.75 78.75 90.00
Each line ends with the local moment (μB).
Fractional positions:
S 0.500 0.500 0.000  0.01
S 0.250 0.750 0.500  0.01
Co 0.000 0.000 0.000  0.84
Co 0.750 0.250 0.500  0.84
Li 0.144 0.125 0.250  -0.02
Li 0.606 0.625 0.250  -0.02
Li 0.375 0.856 0.750  -0.02
Li 0.875 0.394 0.750  -0.02

(21)
Computed, not measured: crystalline LiCo2S at its relaxed geometry at the PBE level of DFT.

Computed properties:
* symmetry: No. 122
* total energy: -5.044 eV/atom
* size of the total moment: 2.10 μB per cell
* raw formation energy: 0.4 kcal/mol of atoms

Lattice parameters (Å, degrees): 6.727 6.727 5.303 50.64 50.64 90.00
Each line ends with the local moment (μB).
Fractional positions:
S 0.000 0.000 0.000  0.01
S 0.750 0.250 0.500  0.01
Co 0.715 0.125 0.250  0.53
Co 0.035 0.625 0.250  0.54
Co 0.375 0.285 0.750  0.54
Co 0.875 0.965 0.750  0.54
Li 0.500 0.500 0.000  0.00
Li 0.250 0.750 0.500  0.00

(22)
Computed, not measured: crystalline Li2Co3S4 at its relaxed geometry at the PBE level of DFT.

Computed properties:
* symmetry: No. 69
* total energy: -5.175 eV/atom
* size of the total moment: 3.00 μB per cell
* raw formation energy: -12.6 kcal/mol of atoms

Lattice parameters (Å, degrees): 5.516 5.516 6.311 101.64 101.64 122.57
Each line ends with the local moment (μB).
Fractional positions:
Li 0.631 0.631 0.262  -0.01
Li 0.369 0.369 0.738  -0.01
Co 0.500 0.000 0.000  0.89
Co 0.000 0.000 0.000  0.90
Co 0.000 0.500 0.000  0.89
S 0.027 0.707 0.734  0.07
S 0.707 0.027 0.734  0.07
S 0.973 0.293 0.266  0.07
S 0.293 0.973 0.266  0.07

(23)
Computed, not measured: crystalline LiCo2SbS at its relaxed geometry at the PBE level of DFT.

Computed properties:
* symmetry: No. 123
* total energy: -4.903 eV/atom
* size of the total moment: 1.87 μB per cell
* raw formation energy: -0.6 kcal/mol of atoms

Lattice parameters (Å, degrees): 4.230 4.416 4.230 90.00 90.00 90.00
Each line ends with the local moment (μB).
Fractional positions:
Sb 0.500 0.500 0.500  0.00
S 0.000 0.000 0.000  0.06
Co 0.000 0.000 0.500  0.81
Co 0.500 0.000 0.000  1.02
Li 0.000 0.500 0.000  0.01

(24)
Computed, not measured: crystalline Li2Ta2CoS6 at its relaxed geometry at the PBE level of DFT.

Computed properties:
* symmetry: No. 12
* total energy: -6.327 eV/atom
* size of the total moment: 1.42 μB per cell
* raw formation energy: -21.4 kcal/mol of atoms

Lattice parameters (Å, degrees): 6.042 6.042 6.515 97.54 97.54 122.14
Each line ends with the local moment (μB).
Fractional positions:
Li 0.820 0.180 0.000  0.01
Li 0.180 0.820 0.000  0.01
Ta 0.357 0.643 0.500  -0.10
Ta 0.643 0.357 0.500  -0.10
Co 0.000 0.000 0.500  1.50
S 0.763 0.763 0.748  0.00
S 0.057 0.399 0.721  0.03
S 0.237 0.237 0.252  0.00
S 0.399 0.057 0.721  0.03
S 0.943 0.601 0.279  0.03
S 0.601 0.943 0.279  0.03

(25)
Computed, not measured: crystalline Li4Ti3CoS8 at its relaxed geometry at the PBE level of DFT.

Computed properties:
* symmetry: No. 166
* total energy: -5.687 eV/atom
* size of the total moment: 1.95 μB per cell
* raw formation energy: -28.1 kcal/mol of atoms

Lattice parameters (Å, degrees): 6.937 7.280 6.937 118.46 120.00 90.00
Each line ends with the local moment (μB).
Fractional positions:
Li 0.500 0.000 0.000  0.02
Li 0.500 0.000 0.500  0.00
Li 0.000 0.000 0.000  0.00
Li 0.000 0.000 0.500  0.00
Ti 0.500 0.500 0.000  0.08
Ti 0.500 0.500 0.500  0.08
Ti 0.000 0.500 0.500  0.08
Co 0.000 0.500 0.000  1.52
S 0.241 0.730 0.989  0.01
S 0.242 0.730 0.483  0.01
S 0.254 0.263 0.509  0.00
S 0.747 0.730 0.989  0.01
S 0.253 0.270 0.011  0.01
S 0.746 0.737 0.491  0.00
S 0.758 0.270 0.517  0.01
S 0.759 0.270 0.011  0.01